#i
The following is a PBE calculation of crystalline GaP2RuS at its relaxed geometry, from Alexandria.

a b c (Å): 4.4990 4.4990 4.5980
angles (deg): 90.00 90.00 90.00
Atoms (fractional coordinates):
Ga1 0.0000 0.0000 0.0000
P1 0.0000 0.5000 0.0000
P2 0.5000 0.0000 0.0000
Ru1 0.5000 0.5000 0.5000
S1 0.0000 0.0000 0.5000

## Properties
Size of the total moment   0.172 μB per atom
Space-group type   No. 123
Crystal system   tetragonal


#ii
The following is a PBE calculation of crystalline GaP2RuS at its relaxed geometry, from Alexandria.

a b c (Å): 4.5278 4.5278 5.4830
angles (deg): 90.00 90.00 90.00
Atoms (fractional coordinates):
Ga1 0.0000 0.0000 0.0000
P1 0.0000 0.5000 0.5000
P2 0.5000 0.0000 0.5000
Ru1 0.5000 0.5000 0.5000
S1 0.5000 0.5000 0.0000

## Properties
Size of the total moment   0.000 μB per atom
Space-group type   No. 123
Crystal system   tetragonal


Least stable structure among those shown: #i.